First-principles (GGA-PBE) data for an optimized crystal structure of YPH3, as listed in Alexandria.

* DOS(E_F): 1.499 states/eV per cell
* size of the total moment: 0.0 Bohr magnetons per cell
* mass density: 4.15 g/cm³
* energy relative to the lowest polymorph listed for this composition: 0.0 meV/atom
* raw total energy: -4.2170 eV/atom

a = 3.663 Å, b = 3.663 Å, c = 3.663 Å
α = 90.00°, β = 90.00°, γ = 90.00°
Space group Pm-3m (No. 221)
Inequivalent atoms, fractional coordinates:
Y  0.000  0.000  0.000 x1
P  0.500  0.500  0.500 x1
H  0.000  0.500  0.500 x3